# 1
# CdHI2N

A relaxed structure of CdHI2N (PBE, Alexandria).

Cell lengths 6.095, 6.095, 4.330 Å; angles 90.00, 90.00, 90.00 degrees
Fractional coordinates of all 5 atoms:
Cd1 0.000 0.000 0.000
H1 0.500 0.500 0.500
I1 0.000 0.500 0.000
I2 0.500 0.000 0.000
N1 0.000 0.000 0.500

Energy above the lowest structure with this stoichiometry = 0.318 eV per atom
SG = P4/mmm, No. 123



# 2
# CdH6IN2

A relaxed structure of CdH6IN2 (PBE, Alexandria).

Cell lengths 7.250, 7.250, 6.299 Å; angles 90.00, 90.00, 80.10 degrees
Fractional coordinates of all 20 atoms:
Cd1 0.049 0.951 0.750
Cd2 0.951 0.049 0.250
H1 0.037 0.445 0.250
H2 0.159 0.570 0.618
H3 0.159 0.570 0.882
H4 0.430 0.841 0.618
H5 0.430 0.841 0.882
H6 0.445 0.037 0.750
H7 0.555 0.963 0.250
H8 0.570 0.159 0.118
H9 0.570 0.159 0.382
H10 0.841 0.430 0.118
H11 0.841 0.430 0.382
H12 0.963 0.555 0.750
I1 0.331 0.669 0.250
I2 0.669 0.331 0.750
N1 0.081 0.615 0.750
N2 0.385 0.919 0.750
N3 0.615 0.081 0.250
N4 0.919 0.385 0.250

SG = Cmcm, No. 63



# 3
# CdHI2N

A relaxed structure of CdHI2N (PBE, Alexandria).

Cell lengths 6.825, 6.825, 2.921 Å; angles 90.00, 90.00, 90.00 degrees
Fractional coordinates of all 5 atoms:
Cd1 0.000 0.000 0.000
H1 0.500 0.500 0.500
I1 0.000 0.500 0.500
I2 0.500 0.000 0.500
N1 0.500 0.500 0.000

Energy above the lowest structure with this stoichiometry = 0.000 eV per atom
SG = P4/mmm, No. 123



# 4
# CdH2I2O

A relaxed structure of CdH2I2O (PBE, Alexandria).

Cell lengths 6.838, 6.838, 8.254 Å; angles 90.00, 90.00, 94.50 degrees
Fractional coordinates of all 12 atoms:
Cd1 0.116 0.884 0.500
Cd2 0.884 0.116 0.000
H1 0.065 0.766 0.140
H2 0.234 0.935 0.140
H3 0.766 0.065 0.640
H4 0.935 0.234 0.640
I1 0.143 0.429 0.002
I2 0.429 0.143 0.502
I3 0.571 0.857 0.002
I4 0.857 0.571 0.502
O1 0.095 0.905 0.171
O2 0.905 0.095 0.671

SG = Cmc2_1, No. 36



# 5
# CdHIO2

A relaxed structure of CdHIO2 (PBE, Alexandria).

Cell lengths 4.437, 4.437, 3.463 Å; angles 90.00, 90.00, 90.00 degrees
Fractional coordinates of all 5 atoms:
Cd1 0.000 0.000 0.000
H1 0.500 0.500 0.500
I1 0.500 0.500 0.000
O1 0.000 0.500 0.500
O2 0.500 0.000 0.500

Energy above the lowest structure with this stoichiometry = 0.000 eV per atom
SG = P4/mmm, No. 123



# 6
# CdHIO2

A relaxed structure of CdHIO2 (PBE, Alexandria).

Cell lengths 4.053, 4.053, 7.310 Å; angles 90.00, 90.00, 90.00 degrees
Fractional coordinates of all 5 atoms:
Cd1 0.000 0.000 0.000
H1 0.500 0.500 0.500
I1 0.000 0.000 0.500
O1 0.000 0.500 0.000
O2 0.500 0.000 0.000

Energy above the lowest structure with this stoichiometry = 0.040 eV per atom
SG = P4/mmm, No. 123



# 7
# CdH2SI2

A relaxed structure of CdH2SI2 (PBE, Alexandria).

Cell lengths 7.522, 7.522, 7.086 Å; angles 90.00, 90.00, 68.74 degrees
Fractional coordinates of all 12 atoms:
Cd1 0.077 0.923 0.500
Cd2 0.923 0.077 0.000
H1 0.219 0.623 0.835
H2 0.377 0.781 0.835
H3 0.623 0.219 0.335
H4 0.781 0.377 0.335
S1 0.344 0.656 0.714
S2 0.656 0.344 0.214
I1 0.033 0.286 0.699
I2 0.286 0.033 0.199
I3 0.714 0.967 0.699
I4 0.967 0.714 0.199

SG = Cmc2_1, No. 36



# 8
# CdSbHI2

A relaxed structure of CdSbHI2 (PBE, Alexandria).

Cell lengths 5.771, 5.771, 3.959 Å; angles 90.00, 90.00, 90.00 degrees
Fractional coordinates of all 5 atoms:
Cd1 0.000 0.000 0.000
Sb1 0.500 0.500 0.000
H1 0.500 0.500 0.500
I1 0.000 0.500 0.500
I2 0.500 0.000 0.500

Energy above the lowest structure with this stoichiometry = 0.000 eV per atom
SG = P4/mmm, No. 123



no.,VASP energy (eV per atom),Fermi-level density of states (states/eV per atom)
1,-1.9798,1.16
2,-4.2540,0.21
3,-2.2977,0.06
4,-3.3294,0.00
5,-2.5233,0.57
6,-2.4835,1.41
7,-2.8199,0.00
8,-2.0054,0.79